{
  "formula": "BaLi2Mg",
  "functional": "PBEsol",
  "state": "optimized geometry",
  "lattice_angstrom": [[-2.0325, -1.6934, -2.6998], [-2.1287, -1.6617, 2.6448], [-5.1613, 6.4034, -0.1309]],
  "species": ["Li", "Li", "Mg", "Ba"],
  "fractional_positions": [[0.5000, 0.5000, 0.0692], [0.0000, 0.0000, 0.2489], [0.5000, 0.5000, 0.4356], [0.0000, 0.0000, 0.7463]],
  "sg": "P4mm, No. 99",
  "e_form_ev_per_atom": 0.018
}



{
  "formula": "RbPt",
  "functional": "PBEsol",
  "state": "optimized geometry",
  "lattice_angstrom": [[-0.0487, -0.2282, -5.1304], [4.0357, -1.9296, -2.5230], [-0.3826, -4.5428, -2.3648]],
  "species": ["Rb", "Rb", "Pt", "Pt"],
  "fractional_positions": [[0.2500, 0.2500, 0.2500], [0.0000, 0.0000, 0.0000], [0.7500, 0.7500, 0.7500], [0.5000, 0.5000, 0.5000]],
  "sg": "Fd-3m, No. 227",
  "e_form_ev_per_atom": 0.621
}



{
  "formula": "Tl5Hg4",
  "functional": "PBEsol",
  "state": "optimized geometry",
  "lattice_angstrom": [[6.2083, 0.0000, 0.0000], [0.0000, 9.4319, 0.0000], [0.0000, -4.7160, 8.1683]],
  "species": ["Hg", "Hg", "Hg", "Hg", "Hg", "Hg", "Hg", "Hg", "Tl", "Tl", "Tl", "Tl", "Tl", "Tl", "Tl", "Tl", "Tl", "Tl"],
  "fractional_positions": [[0.2500, 0.0000, 0.6353], [0.7500, 0.3647, 0.0000], [0.7500, 0.0000, 0.3647], [0.7500, 0.6353, 0.6353], [0.2500, 0.6353, 0.0000], [0.5000, 0.0000, 0.0000], [0.2500, 0.3647, 0.3647], [0.0000, 0.0000, 0.0000], [0.7500, 0.2987, 0.2987], [0.0000, 0.6667, 0.3333], [0.2500, 0.0000, 0.2987], [0.0000, 0.3333, 0.6667], [0.7500, 0.0000, 0.7013], [0.5000, 0.3333, 0.6667], [0.2500, 0.2987, 0.0000], [0.7500, 0.7013, 0.0000], [0.2500, 0.7013, 0.7013], [0.5000, 0.6667, 0.3333]],
  "sg": "P6_3/mcm, No. 193",
  "e_form_ev_per_atom": -0.003
}



{
  "formula": "Mg2VBiO6",
  "functional": "PBEsol",
  "state": "optimized geometry",
  "lattice_angstrom": [[-4.3236, -0.9079, -3.2062], [3.0822, -6.9734, -2.1818], [-5.7216, -5.4234, 9.2513]],
  "species": ["O", "O", "O", "O", "O", "O", "O", "O", "O", "O", "O", "O", "O", "O", "O", "O", "O", "O", "O", "O", "O", "O", "O", "O", "Mg", "Mg", "Mg", "Mg", "Mg", "Mg", "Mg", "Mg", "Bi", "Bi", "Bi", "Bi", "V", "V", "V", "V"],
  "fractional_positions": [[0.4967, 0.3287, 0.0095], [0.7500, 0.7252, 0.7515], [0.9967, 0.8287, 0.4905], [0.2500, 0.6186, 0.2004], [0.2500, 0.8814, 0.7004], [0.7500, 0.3814, 0.7996], [0.5033, 0.8287, 0.4905], [0.0033, 0.3287, 0.0095], [0.7500, 0.7748, 0.2515], [0.9908, 0.4906, 0.3826], [0.9908, 0.0094, 0.8826], [0.2500, 0.2252, 0.7485], [0.4967, 0.1713, 0.5095], [0.5033, 0.6713, 0.9905], [0.4908, 0.5094, 0.6174], [0.4908, 0.9906, 0.1174], [0.7500, 0.1186, 0.2996], [0.5092, 0.4906, 0.3826], [0.0092, 0.5094, 0.6174], [0.5092, 0.0094, 0.8826], [0.0033, 0.1713, 0.5095], [0.0092, 0.9906, 0.1174], [0.9967, 0.6713, 0.9905], [0.2500, 0.2748, 0.2485], [0.2500, 0.7981, 0.0830], [0.2500, 0.3144, 0.5954], [0.7500, 0.8144, 0.9046], [0.2500, 0.7019, 0.5830], [0.2500, 0.1856, 0.0954], [0.7500, 0.2019, 0.9170], [0.7500, 0.6856, 0.4046], [0.7500, 0.2981, 0.4170], [0.7500, 0.9838, 0.5936], [0.2500, 0.4838, 0.9064], [0.7500, 0.5162, 0.0936], [0.2500, 0.0162, 0.4064], [0.2500, 0.4722, 0.3018], [0.7500, 0.9722, 0.1982], [0.2500, 0.0278, 0.8018], [0.7500, 0.5278, 0.6982]],
  "sg": "Pnma, No. 62",
  "raw_formation_energy_ev_per_atom": -2.293,
  "e_above_lowest_polymorph_ev_per_atom": 0.0000
}



{
  "formula": "Ca3P2O8",
  "functional": "PBEsol",
  "state": "optimized geometry",
  "lattice_angstrom": [[-4.4968, -0.2290, -2.6080], [-0.0341, -2.1927, 4.7187], [-1.9805, 6.2316, 2.8765]],
  "species": ["O", "O", "O", "O", "O", "O", "O", "O", "P", "P", "Ca", "Ca", "Ca"],
  "fractional_positions": [[0.2525, 0.7509, 0.8259], [0.7473, 0.2548, 0.6820], [0.2313, 0.3141, 0.9992], [0.7752, 0.6801, 0.4995], [0.7452, 0.2527, 0.3180], [0.3199, 0.2248, 0.5005], [0.2491, 0.7475, 0.1741], [0.6859, 0.7687, 0.0008], [0.6488, 0.3512, 0.5000], [0.3494, 0.6506, 0.0000], [0.6911, 0.3089, 0.0000], [0.0084, 0.9924, 0.2712], [0.0076, 0.9916, 0.7288]],
  "sg": "C2, No. 5",
  "raw_formation_energy_ev_per_atom": -2.847,
  "e_above_lowest_polymorph_ev_per_atom": 0.0624
}



{
  "formula": "YCd",
  "functional": "PBEsol",
  "state": "optimized geometry",
  "lattice_angstrom": [[3.6854, 0.0257, 0.0000], [-0.0252, 3.6854, 0.0000], [0.0000, 0.0000, 3.6828]],
  "species": ["Y", "Cd"],
  "fractional_positions": [[0.5000, 0.5000, 0.0000], [0.0000, 0.0000, 0.5000]],
  "sg": "Pm-3m, No. 221",
  "e_form_ev_per_atom": -0.381
}



{
  "formula": "Cd2SBr",
  "functional": "PBEsol",
  "state": "optimized geometry",
  "lattice_angstrom": [[4.9028, 0.0000, 0.0000], [2.4514, 4.2459, 0.0000], [2.4514, 1.4153, 4.0031]],
  "species": ["Br", "Cd", "Cd", "S"],
  "fractional_positions": [[0.5000, 0.5000, 0.5000], [0.7500, 0.7500, 0.7500], [0.2500, 0.2500, 0.2500], [0.0000, 0.0000, 0.0000]],
  "sg": "Fm-3m, No. 225",
  "raw_formation_energy_ev_per_atom": -0.126
}



{
  "formula": "TiGa2OsCl",
  "functional": "PBEsol",
  "state": "optimized geometry",
  "lattice_angstrom": [[4.2633, 0.0000, 0.0000], [0.0000, 4.5242, 0.0000], [0.0000, 0.0000, 4.5242]],
  "species": ["Cl", "Os", "Ga", "Ga", "Ti"],
  "fractional_positions": [[0.0000, 0.0000, 0.0000], [0.5000, 0.5000, 0.5000], [0.0000, 0.0000, 0.5000], [0.0000, 0.5000, 0.0000], [0.5000, 0.0000, 0.0000]],
  "sg": "P4/mmm, No. 123",
  "raw_formation_energy_ev_per_atom": 1.002
}



{
  "formula": "In2BrCl",
  "functional": "PBEsol",
  "state": "optimized geometry",
  "lattice_angstrom": [[-4.8863, -0.7589, 4.6980], [5.0168, -4.6195, 0.1227], [2.9261, 6.0349, 1.2414]],
  "species": ["Cl", "Cl", "In", "In", "In", "In", "Br", "Br"],
  "fractional_positions": [[0.7500, 0.2500, 0.5000], [0.5000, 0.5000, 0.0000], [0.6250, 0.1391, 0.0141], [0.1250, 0.6109, 0.9859], [0.8609, 0.8750, 0.4859], [0.3891, 0.3750, 0.5141], [0.2500, 0.7500, 0.5000], [0.0000, 0.0000, 0.0000]],
  "sg": "I-42d, No. 122",
  "raw_formation_energy_ev_per_atom": -0.572,
  "e_above_lowest_polymorph_ev_per_atom": 0.1085
}



{
  "formula": "Na2RuC",
  "functional": "PBEsol",
  "state": "optimized geometry",
  "lattice_angstrom": [[3.7762, 0.0000, 0.0000], [1.8881, 6.7736, 0.0000], [1.8881, 0.0000, 6.7736]],
  "species": ["C", "C", "Ru", "Ru", "Na", "Na", "Na", "Na"],
  "fractional_positions": [[0.5000, 0.0000, 0.0000], [0.2500, 0.5000, 0.5000], [0.0000, 0.0000, 0.0000], [0.7500, 0.5000, 0.5000], [0.8750, 0.8369, 0.6631], [0.3750, 0.1631, 0.3369], [0.4619, 0.6631, 0.1631], [0.2881, 0.3369, 0.8369]],
  "sg": "I-42d, No. 122",
  "e_form_ev_per_atom": 0.873
}



{
  "formula": "Sc2PdPt",
  "functional": "PBEsol",
  "state": "optimized geometry",
  "lattice_angstrom": [[2.9736, 0.0000, 0.0000], [1.4868, 2.5752, 0.0000], [1.4868, 0.8584, 9.4063]],
  "species": ["Sc", "Sc", "Pd", "Pt"],
  "fractional_positions": [[0.0890, 0.0890, 0.7331], [0.9110, 0.9110, 0.2669], [0.5000, 0.5000, 0.5000], [0.0000, 0.0000, 0.0000]],
  "sg": "R-3m, No. 166",
  "e_form_ev_per_atom": -0.253,
  "e_above_lowest_polymorph_ev_per_atom": 0.8174
}



{
  "formula": "Rb2NaPd",
  "functional": "PBEsol",
  "state": "optimized geometry",
  "lattice_angstrom": [[-4.2567, 1.8736, -3.1536], [-5.7859, -6.6366, -1.1394], [-6.2328, 3.3208, 5.3799]],
  "species": ["Rb", "Rb", "Rb", "Rb", "Na", "Na", "Pd", "Pd"],
  "fractional_positions": [[0.9687, 0.1563, 0.6563], [0.7813, 0.8437, 0.3437], [0.3750, 0.6563, 0.8437], [0.8750, 0.3437, 0.1563], [0.2500, 0.5000, 0.5000], [0.5000, 0.0000, 0.0000], [0.7500, 0.5000, 0.5000], [0.0000, 0.0000, 0.0000]],
  "sg": "I-42d, No. 122",
  "e_form_ev_per_atom": 0.219
}